VASP calculation (GGA-PBE) on a relaxed KPmTe3 crystal.

Output
The calculation puts the size of the total moment at 0.0 μB/cell. For the volume, the calculation gives 768.4 Å³ per cell. The formation energy without anion corrections comes out at -919.3 meV per atom.

abc: 7.354 6.619 15.787
angles: 90.00 90.00 90.00
Positions (direct):
K (0.750, 0.467, 0.679)
K (0.250, 0.533, 0.321)
K (0.750, 0.967, 0.321)
K (0.250, 0.033, 0.679)
Pm (0.500, 0.250, 0.091)
Pm (0.000, 0.750, 0.909)
Pm (0.500, 0.750, 0.909)
Pm (0.000, 0.250, 0.091)
Te (0.000, 0.250, 0.495)
Te (0.500, 0.750, 0.505)
Te (0.000, 0.750, 0.505)
Te (0.500, 0.250, 0.495)
Te (0.250, 0.124, 0.931)
Te (0.750, 0.876, 0.069)
Te (0.250, 0.624, 0.069)
Te (0.750, 0.376, 0.931)
Te (0.250, 0.542, 0.780)
Te (0.750, 0.458, 0.220)
Te (0.250, 0.042, 0.220)
Te (0.750, 0.958, 0.780)